A plane-wave DFT calculation with GGA-PBE was carried out for an optimized crystal structure of DyEr2TmTl2.

Cell lengths 5.045, 6.798, 9.874 Å; angles 90.00, 90.00, 90.00 degrees
Element x y z (fractional)
Dy  0.000  0.960  0.457
Er  0.500  0.554  0.956
Tl  0.000  0.799  0.133
Er  0.000  0.838  0.813
Tm  0.500  0.177  0.690
Tl  0.500  0.717  0.632
Tm  0.500  0.677  0.310
Er  0.500  0.054  0.044
Dy  0.000  0.460  0.543
Tl  0.000  0.299  0.867
Er  0.000  0.338  0.187
Tl  0.500  0.217  0.368

ΔE_f, eV/atom: -0.262
DOS(E_F), states/eV/cell: 11.644
Theoretical density, g/cm³: 10.54
Space group: Pmc2_1 (26)
Magnetization, μB per cell: 0.0

=====

A plane-wave DFT calculation with GGA-PBE was carried out for an optimized crystal structure of LaTiAs3.

Cell lengths 4.913, 4.913, 4.913 Å; angles 90.00, 90.00, 90.00 degrees
Element x y z (fractional)
Ti  0.000  0.000  0.000
As  0.500  0.000  0.000
As  0.000  0.500  0.000
As  0.000  0.000  0.500
La  0.500  0.500  0.500

ΔE_f, eV/atom: -0.693
DOS(E_F), states/eV/cell: 6.608
Theoretical density, g/cm³: 5.76
Space group: Pm-3m (221)
Magnetization, μB per cell: 0.0

=====

theoretical density of number 2 (LaTiAs3)?
5.76 g/cm³